Ce3Al12Ru4 at its PBEsol-relaxed geometry, computed with meta-GGA SCAN.

Unit cell a=8.8074 b=8.8074 c=9.4526 alpha=90.00 beta=90.00 gamma=120.00
Space group P6_3/mmc (No. 194)
Asymmetric unit:
Ce (0.1937, 0.3874, 0.2500) [6 per cell]
Al (0.0000, 0.0000, 0.2500) [2 per cell]
Al (0.1234, 0.5617, 0.7500) [6 per cell]
Al (0.1621, 0.3242, 0.5774) [12 per cell]
Al (0.3333, 0.6667, 0.0159) [4 per cell]
Ru (0.0000, 0.0000, 0.0000) [2 per cell]
Ru (0.0000, 0.5000, 0.0000) [6 per cell]

Results
- Calculated density: 6.006 g/cm³
- Fermi-level density of states: 0.51 states/eV/atom
- ΔH_f (0 K): -13.91 eV per formula unit